# Mn2PW

Mn2PW at its PBEsol-relaxed geometry (meta-GGA SCAN, Alexandria).

Properties
V ... 48.9 Å³/f.u.
Total energy ... -28.94 eV per atom
N(E_F) ... 0.82 states/eV per atom
Crystal system ... trigonal

Cell: 7.9795 7.9795 7.9795 Å, 19.38 19.38 19.38°
Last column: nearest neighbours and their distance in Å.
Fractional positions:
Mn (0.0000, 0.0000, 0.0000)  9 Mn 2.41-2.69, 3 W 2.66
Mn (0.2548, 0.2548, 0.2548)  3 P 2.30, 3 Mn 2.41
P (0.5157, 0.5157, 0.5157)  3 Mn 2.30
W (0.7584, 0.7584, 0.7584)  3 P 2.63, 3 Mn 2.66, 6 W 2.69